Record 1
{"formula": "BPbSeBr2", "functional": "PBE-GGA", "state": "relaxed", "lattice": [[-4.214, 4.016, -0.772], [-2.794, -3.636, -3.668], [-2.923, -2.216, 4.424]], "species": ["Br", "Br", "Se", "Pb", "B"], "fractional_positions": [[0.000, 0.500, 0.000], [0.500, 0.000, 0.000], [0.000, 0.000, 0.500], [0.000, 0.000, 0.000], [0.500, 0.500, 0.500]], "raw_formation_energy_kcal_per_mol_atoms": 20.687, "dft_energy_ev_per_cell": -12.731, "de_polymorph_mev_per_atom": 616, "m_tot_mub_per_cell": 0.5, "density_kg_m3": 3828, "sg": "No. 123"}

---

Record 2
{"formula": "BPbSe2Br", "functional": "PBE-GGA", "state": "relaxed", "lattice": [[5.445, 0.000, 0.000], [0.000, 5.445, 0.000], [0.000, 0.000, 5.767]], "species": ["B", "Pb", "Br", "Se", "Se"], "fractional_positions": [[0.500, 0.500, 0.500], [0.000, 0.000, 0.000], [0.000, 0.000, 0.500], [0.500, 0.000, 0.000], [0.000, 0.500, 0.000]], "raw_formation_energy_kcal_per_mol_atoms": 26.680, "dft_energy_ev_per_cell": -13.243, "de_polymorph_mev_per_atom": 880, "m_tot_mub_per_cell": 0.0, "density_kg_m3": 4427, "sg": "No. 123"}

---

Record 3
{"formula": "BPbSeBr2", "functional": "PBE-GGA", "state": "relaxed", "lattice": [[5.429, 0.000, 0.000], [0.000, 5.429, 0.000], [0.000, 0.000, 4.135]], "species": ["Br", "B", "Br", "Se", "Pb"], "fractional_positions": [[0.000, 0.500, 0.000], [0.000, 0.000, 0.000], [0.500, 0.000, 0.000], [0.000, 0.000, 0.500], [0.500, 0.500, 0.500]], "raw_formation_energy_kcal_per_mol_atoms": 6.471, "dft_energy_ev_per_cell": -15.813, "de_polymorph_mev_per_atom": 0, "m_tot_mub_per_cell": 0.0, "density_kg_m3": 6224, "sg": "No. 123"}

---

Record 4
{"formula": "SrB2PbBr", "functional": "PBE-GGA", "state": "relaxed", "lattice": [[5.190, 0.000, 0.000], [0.000, 5.710, 0.000], [0.000, 0.000, 5.190]], "species": ["Pb", "B", "B", "Sr", "Br"], "fractional_positions": [[0.500, 0.500, 0.500], [0.500, 0.000, 0.000], [0.000, 0.000, 0.500], [0.000, 0.000, 0.000], [0.000, 0.500, 0.000]], "raw_formation_energy_kcal_per_mol_atoms": 34.413, "dft_energy_ev_per_cell": -12.956, "m_tot_mub_per_cell": 1.2, "density_kg_m3": 4280, "sg": "No. 123"}

---

Record 5
{"formula": "Zn2BPbBr", "functional": "PBE-GGA", "state": "relaxed", "lattice": [[-3.057, 0.820, -4.038], [-4.014, -3.662, 2.295], [-2.188, 3.937, 2.456]], "species": ["B", "Br", "Zn", "Zn", "Pb"], "fractional_positions": [[0.500, 0.500, 0.500], [0.000, 0.000, 0.000], [0.500, 0.000, 0.000], [0.000, 0.000, 0.500], [0.000, 0.500, 0.000]], "raw_formation_energy_kcal_per_mol_atoms": 34.329, "dft_energy_ev_per_cell": -7.163, "m_tot_mub_per_cell": 0.0, "density_kg_m3": 4587, "sg": "No. 123"}

---

Record 6
{"formula": "B2PdBr2", "functional": "PBE-GGA", "state": "relaxed", "lattice": [[-4.569, -1.705, -1.228], [-0.285, -2.410, 4.405], [-3.720, 0.470, 2.888]], "species": ["Pd", "B", "Br", "B", "Br"], "fractional_positions": [[0.000, 0.000, 0.000], [0.638, 0.638, 0.723], [0.250, 0.750, 0.500], [0.362, 0.362, 0.277], [0.750, 0.250, 0.500]], "raw_formation_energy_kcal_per_mol_atoms": 22.969, "dft_energy_ev_per_cell": -16.913, "de_polymorph_mev_per_atom": 15, "m_tot_mub_per_cell": 0.0, "density_kg_m3": 6052, "sg": "No. 139"}

---

Record 7
{"formula": "B3PdBr", "functional": "PBE-GGA", "state": "relaxed", "lattice": [[4.223, 0.000, 0.000], [0.000, 4.223, 0.000], [0.000, 0.000, 4.223]], "species": ["B", "B", "Br", "Pd", "B"], "fractional_positions": [[0.000, 0.500, 0.000], [0.500, 0.000, 0.000], [0.500, 0.500, 0.500], [0.000, 0.000, 0.000], [0.000, 0.000, 0.500]], "raw_formation_energy_kcal_per_mol_atoms": 28.591, "dft_energy_ev_per_cell": -20.699, "de_polymorph_mev_per_atom": 0, "m_tot_mub_per_cell": 0.0, "density_kg_m3": 4824, "sg": "No. 221"}

---

Record 8
{"formula": "B2PdBr", "functional": "PBE-GGA", "state": "relaxed", "lattice": [[5.231, 0.000, 0.000], [0.000, 5.231, 0.000], [2.615, 2.615, 5.020]], "species": ["Br", "Br", "B", "Pd", "Pd", "B", "B", "B"], "fractional_positions": [[0.250, 0.750, 0.500], [0.500, 0.500, 0.000], [0.694, 0.125, 0.250], [0.750, 0.250, 0.500], [0.000, 0.000, 0.000], [0.375, 0.306, 0.750], [0.056, 0.625, 0.250], [0.875, 0.944, 0.750]], "raw_formation_energy_kcal_per_mol_atoms": 21.973, "dft_energy_ev_per_cell": -32.818, "de_polymorph_mev_per_atom": 0, "m_tot_mub_per_cell": 0.0, "density_kg_m3": 5029, "sg": "No. 122"}